[1]
Computed, not measured: a geometry-optimized HfZnFePt structure at the PBE level of DFT.

Structure (POSCAR):
```
HfZnFePt
1.0
0.0000 3.1747 3.1747
3.1747 0.0000 3.1747
3.1747 3.1747 0.0000
Fe Hf Pt Zn
1 1 1 1
Direct
0.7500 0.7500 0.7500
0.2500 0.2500 0.2500
0.5000 0.5000 0.5000
0.0000 0.0000 0.0000
```

Results
- Energy relative to the elements: -0.296 eV/atom
- ρ: 12.839 Mg/m³
- Excess energy over the best structure of this formula in the dataset: 191 meV per atom
- M_tot: 0.742 μB per atom
- Raw total energy: -6.69 eV/atom


[2]
Computed, not measured: a geometry-optimized HfGeOs2 structure at the PBE level of DFT.

Structure (POSCAR):
```
HfGeOs2
1.0
-3.1752 -0.2656 3.1876
-4.3479 -0.2322 -1.1641
-2.2882 -3.8383 0.5872
Ge Hf Os
1 1 2
Direct
0.5000 0.5000 0.5000
0.2500 0.2500 0.2500
0.0000 0.0000 0.0000
0.7500 0.7500 0.7500
```

Results
- ρ: 16.201 Mg/m³
- M_tot: 0.002 μB per atom
- Raw total energy: -9.03 eV/atom


[3]
Computed, not measured: a geometry-optimized BeCdW structure at the PBE level of DFT.

Structure (POSCAR):
```
BeCdW
1.0
-0.4642 -1.2581 4.0807
-3.6447 -1.8892 1.2636
-0.0264 -4.1849 0.9674
Be Cd W
1 1 1
Direct
0.2500 0.2500 0.2500
0.7500 0.7500 0.7500
0.0000 0.0000 0.0000
```

Results
- ρ: 9.046 Mg/m³
- Excess energy over the best structure of this formula in the dataset: 0 meV per atom
- M_tot: 0.001 μB per atom
- Raw total energy: -4.29 eV/atom


[4]
Computed, not measured: a geometry-optimized Nb2HgBi structure at the PBE level of DFT.

Structure (POSCAR):
```
Nb2HgBi
1.0
4.0157 -2.6437 1.2683
0.4467 -4.7185 -1.5033
3.3758 -1.2020 -3.4472
Bi Hg Nb
1 1 2
Direct
0.5000 0.5000 0.5000
0.2500 0.2500 0.2500
0.0000 0.0000 0.0000
0.7500 0.7500 0.7500
```

Results
- ρ: 11.373 Mg/m³
- M_tot: 0.002 μB per atom
- Raw total energy: -5.49 eV/atom


> What is the formula in the fourth record?

Nb2HgBi